{"formula": "Be2CdGe", "functional": "GGA-PBE", "state": "optimized geometry", "volume_a3_per_atom": 14.90, "formation_enthalpy_0k_ev_per_atom": 0.614, "n_ef_per_ev_atom": 0.21, "total_energy_ev_per_cell": -10.53, "space_group": "Fm-3m", "lattice": [[0.000, 3.100, 3.100], [3.100, 0.000, 3.100], [3.100, 3.100, 0.000]], "species": ["Be", "Be", "Cd", "Ge"], "frac_coords": [[0.250, 0.250, 0.250], [0.750, 0.750, 0.750], [0.000, 0.000, 0.000], [0.500, 0.500, 0.500]]}


{"formula": "Sb2OsSeI", "functional": "GGA-PBE", "state": "optimized geometry", "e_form_raw_ev_per_atom": 1.73, "volume_a3_per_atom": 31.95, "n_ef_per_ev_atom": 1.21, "total_energy_ev_per_cell": -15.86, "space_group": "P4/mmm", "lattice": [[5.381, 0.000, 0.000], [0.000, 5.381, 0.000], [0.000, 0.000, 5.517]], "species": ["Sb", "Sb", "Os", "Se", "I"], "frac_coords": [[0.000, 0.500, 0.000], [0.500, 0.000, 0.000], [0.000, 0.000, 0.500], [0.500, 0.500, 0.000], [0.500, 0.500, 0.500]]}


{"formula": "Mg4Sb2O9", "functional": "GGA-PBE", "state": "optimized geometry", "e_form_raw_ev_per_atom": -2.15, "volume_a3_per_atom": 11.27, "n_ef_per_ev_atom": 0.00, "total_energy_ev_per_cell": -183.04, "space_group": "P-1", "lattice": [[5.247, 0.000, 0.000], [-0.075, 5.638, 0.000], [-2.614, -1.721, 11.428]], "species": ["Mg", "Mg", "Mg", "Mg", "Mg", "Mg", "Mg", "Mg", "Sb", "Sb", "Sb", "Sb", "O", "O", "O", "O", "O", "O", "O", "O", "O", "O", "O", "O", "O", "O", "O", "O", "O", "O"], "frac_coords": [[0.035, 0.342, 0.096], [0.118, 0.830, 0.230], [0.274, 0.018, 0.580], [0.388, 0.670, 0.767], [0.612, 0.330, 0.233], [0.726, 0.982, 0.420], [0.882, 0.170, 0.770], [0.965, 0.658, 0.904], [0.215, 0.531, 0.427], [0.442, 0.150, 0.894], [0.558, 0.850, 0.106], [0.785, 0.469, 0.573], [0.077, 0.850, 0.404], [0.127, 0.919, 0.834], [0.139, 0.636, 0.596], [0.208, 0.682, 0.068], [0.224, 0.406, 0.833], [0.280, 0.477, 0.272], [0.377, 0.172, 0.058], [0.436, 0.271, 0.498], [0.484, 0.983, 0.263], [0.516, 0.017, 0.737], [0.564, 0.729, 0.502], [0.623, 0.828, 0.942], [0.720, 0.523, 0.728], [0.776, 0.594, 0.167], [0.792, 0.318, 0.932], [0.861, 0.364, 0.404], [0.873, 0.081, 0.166], [0.923, 0.150, 0.596]]}